GGA-PBEsol AlCdTcPd2, relaxed; Fermi-level density of states = 4.81 states/eV/f.u.; formation enthalpy at 0 K = 732.7 kJ/mol of formula units
1.0
4.7886 0.0000 0.0000
0.0000 4.7886 0.0000
0.0000 0.0000 4.8751
Al Cd Tc Pd
1 1 1 2
direct
0.0000 0.0000 0.0000 Al
0.5000 0.5000 0.5000 Cd
0.5000 0.5000 0.0000 Tc
0.0000 0.5000 0.5000 Pd
0.5000 0.0000 0.5000 Pd